Below is a relaxed structure of Li3Ti2Ni2O8, with properties calculated at the GGA+U level.

Cell and atoms, written as POSCAR:
```
Li3Ti2Ni2O8
1.0
2.937 5.097 -0.002
-2.937 5.097 -0.002
0.000 3.407 4.854
Li Ti Ni O
3 2 2 8
direct
0.000 0.000 0.500
0.500 0.000 0.000
0.000 0.500 0.000
0.500 0.000 0.500
0.000 0.500 0.500
0.500 0.500 0.500
0.500 0.500 0.000
0.249 0.249 0.271
0.262 0.714 0.282
0.714 0.262 0.282
0.244 0.244 0.729
0.756 0.756 0.271
0.286 0.738 0.718
0.738 0.286 0.718
0.751 0.751 0.729
```

## Properties
Mass density: 4.1 g/cm³
Energy above the lowest structure with this stoichiometry: 0 meV/atom
Magnetic moment: 3.000 μB/f.u.